(1)
## MgTa2Ni (PBEsol)

Data for crystalline MgTa2Ni at its relaxed geometry. Values from VASP.

Structure (Quantum ESPRESSO input):
```
&SYSTEM
  ibrav = 0, nat = 4, ntyp = 3
/
ATOMIC_SPECIES
Mg 24.30 Mg.upf
Ta 180.95 Ta.upf
Ni 58.69 Ni.upf
CELL_PARAMETERS angstrom
2.9243 0.0000 0.0000
0.0000 3.4382 0.0000
0.0000 0.0000 6.4849
ATOMIC_POSITIONS crystal
Mg 0.0000 0.0000 0.0000
Ta 0.0000 0.0000 0.4446
Ta 0.5000 0.5000 0.7018
Ni 0.5000 0.5000 0.2340
```


(2)
## MnFeNiO4 (PBEsol)

Data for crystalline MnFeNiO4 at its relaxed geometry. Values from VASP.

Properties
Formation energy from raw total energies ... -8.64 eV per formula unit

Structure (Quantum ESPRESSO input):
```
&SYSTEM
  ibrav = 0, nat = 14, ntyp = 4
/
ATOMIC_SPECIES
Mn 54.94 Mn.upf
Fe 55.84 Fe.upf
Ni 58.69 Ni.upf
O 16.00 O.upf
CELL_PARAMETERS angstrom
-2.8577 2.8804 4.1154
2.8577 -2.8804 4.1154
2.8577 2.8804 -4.1154
ATOMIC_POSITIONS crystal
Mn 0.5000 0.0000 0.0000
Mn 0.5000 0.5000 0.5000
Fe 0.1335 0.3835 0.7500
Fe 0.8665 0.6165 0.2500
Ni 0.0000 0.0000 0.0000
Ni 0.5000 0.0000 0.5000
O 0.2667 0.2454 0.0212
O 0.2672 0.2529 0.4857
O 0.2672 0.7815 0.0143
O 0.2758 0.7546 0.5212
O 0.7242 0.2454 0.4788
O 0.7328 0.2185 0.9857
O 0.7328 0.7471 0.5143
O 0.7333 0.7546 0.9788
```


(3)
## CaTa2 (PBEsol)

Data for crystalline CaTa2 at its relaxed geometry. Values from VASP.

Structure (Quantum ESPRESSO input):
```
&SYSTEM
  ibrav = 0, nat = 6, ntyp = 2
/
ATOMIC_SPECIES
Ca 40.08 Ca.upf
Ta 180.95 Ta.upf
CELL_PARAMETERS angstrom
5.3919 -1.6802 0.0000
5.3919 1.6802 0.0000
-2.5975 0.0000 7.5516
ATOMIC_POSITIONS crystal
Ca 0.1573 0.1573 0.1147
Ca 0.8427 0.8427 0.8853
Ta 0.1548 0.1548 0.5417
Ta 0.4800 0.4800 0.3102
Ta 0.5200 0.5200 0.6898
Ta 0.8452 0.8452 0.4583
```


(4)
## CsBeGa3 (PBEsol)

Data for crystalline CsBeGa3 at its relaxed geometry. Values from VASP.

Structure (Quantum ESPRESSO input):
```
&SYSTEM
  ibrav = 0, nat = 5, ntyp = 3
/
ATOMIC_SPECIES
Cs 132.91 Cs.upf
Be 9.01 Be.upf
Ga 69.72 Ga.upf
CELL_PARAMETERS angstrom
4.8692 0.0000 0.0000
0.0000 4.8692 0.0000
0.0000 0.0000 4.8692
ATOMIC_POSITIONS crystal
Cs 0.0000 0.0000 0.0000
Be 0.5000 0.5000 0.5000
Ga 0.0000 0.5000 0.5000
Ga 0.5000 0.0000 0.5000
Ga 0.5000 0.5000 0.0000
```


The evaluated VASP energy for the records listed, in turn: -0.2978, -0.2862, -0.3177, -0.0966 Ha/atom.